Record 1
Here is an optimized crystal structure of TbFe6Sn6 from Alexandria. Energies are from GGA-PBE. Values from VASP.

Energy relative to the elements ... -115 meV per atom
Crystal system ... orthorhombic

Cell and atoms, written as Quantum ESPRESSO input:
```
&SYSTEM
  ibrav = 0, nat = 26, ntyp = 3
/
ATOMIC_SPECIES
Tb 158.93 Tb.upf
Fe 55.84 Fe.upf
Sn 118.71 Sn.upf
ATOMIC_POSITIONS angstrom
Tb 4.483 6.959 4.072
Tb 4.483 -6.959 1.357
Fe 2.242 4.675 0.000
Fe 2.242 4.675 2.715
Fe 2.215 2.336 4.072
Fe 2.206 0.000 0.000
Fe 2.206 0.000 2.715
Fe 2.215 -2.336 1.357
Fe 2.242 -4.675 0.000
Fe 2.242 -4.675 2.715
Fe 6.751 2.336 4.072
Fe 6.760 0.000 0.000
Fe 6.760 0.000 2.715
Fe 6.751 -2.336 1.357
Sn 4.483 8.563 1.357
Sn 4.483 5.403 1.357
Sn 3.022 2.324 1.357
Sn 4.483 3.827 4.072
Sn 4.483 0.750 4.072
Sn 3.022 -2.324 4.072
Sn 5.945 2.324 1.357
Sn 4.483 -0.750 1.357
Sn 4.483 -3.827 1.357
Sn 5.945 -2.324 4.072
Sn 4.483 -5.403 4.072
Sn 4.483 -8.563 4.072
CELL_PARAMETERS angstrom
4.483 -9.350 0.000
4.483 9.350 0.000
0.000 0.000 5.430
```

***

Record 2
Here is an optimized crystal structure of Li7MgHg2 from Alexandria. Energies are from GGA-PBE. Values from VASP.

Energy relative to the elements ... 24 meV per atom
Polymorph energy (0 for the lowest one) ... 183 meV/atom
Crystal system ... orthorhombic

Cell and atoms, written as Quantum ESPRESSO input:
```
&SYSTEM
  ibrav = 0, nat = 10, ntyp = 3
/
ATOMIC_SPECIES
Li 6.94 Li.upf
Mg 24.30 Mg.upf
Hg 200.59 Hg.upf
ATOMIC_POSITIONS angstrom
Li 0.000 0.000 0.000
Li 2.425 1.585 0.000
Li 3.772 3.086 2.446
Li 2.425 -1.585 0.000
Li 5.119 1.585 0.000
Li 3.772 -3.086 2.446
Li 5.119 -1.585 0.000
Mg 3.772 0.000 2.446
Hg 3.772 4.047 0.000
Hg 3.772 -4.047 0.000
CELL_PARAMETERS angstrom
3.772 -6.755 0.000
3.772 6.755 0.000
0.000 0.000 4.892
```

***

Record 3
Here is an optimized crystal structure of Ca2SnPPd6 from Alexandria. Energies are from GGA-PBE. Values from VASP.

Energy relative to the elements ... -634 meV per atom
Crystal system ... triclinic

Cell and atoms, written as Quantum ESPRESSO input:
```
&SYSTEM
  ibrav = 0, nat = 10, ntyp = 4
/
ATOMIC_SPECIES
Ca 40.08 Ca.upf
Sn 118.71 Sn.upf
P 30.97 P.upf
Pd 106.42 Pd.upf
ATOMIC_POSITIONS angstrom
Ca 2.902 1.656 1.827
Ca 8.446 4.890 4.641
Sn 5.674 3.273 3.234
P 0.000 0.000 0.000
Pd 5.521 4.389 5.637
Pd 4.160 2.027 5.023
Pd 4.383 4.512 1.267
Pd 6.965 2.034 5.201
Pd 7.187 4.519 1.444
Pd 5.827 2.157 0.830
CELL_PARAMETERS angstrom
5.757 0.000 0.000
2.829 5.622 0.000
2.761 0.924 6.467
```

***

Record 4
Here is an optimized crystal structure of ScSnGe3 from Alexandria. Energies are from GGA-PBE. Values from VASP.

Energy relative to the elements ... 782 meV per atom
Polymorph energy (0 for the lowest one) ... 365 meV/atom
Crystal system ... cubic

Cell and atoms, written as Quantum ESPRESSO input:
```
&SYSTEM
  ibrav = 0, nat = 5, ntyp = 3
/
ATOMIC_SPECIES
Sc 44.96 Sc.upf
Sn 118.71 Sn.upf
Ge 72.64 Ge.upf
ATOMIC_POSITIONS angstrom
Sc 0.000 0.000 0.000
Sn 2.604 2.604 2.604
Ge 0.000 2.604 2.604
Ge 2.604 0.000 2.604
Ge 2.604 2.604 0.000
CELL_PARAMETERS angstrom
5.207 0.000 0.000
0.000 5.207 0.000
0.000 0.000 5.207
```

***

Record 5
Here is an optimized crystal structure of KPb5 from Alexandria. Energies are from GGA-PBE. Values from VASP.

Energy relative to the elements ... -28 meV per atom
Polymorph energy (0 for the lowest one) ... 15 meV/atom
Crystal system ... tetragonal

Cell and atoms, written as Quantum ESPRESSO input:
```
&SYSTEM
  ibrav = 0, nat = 6, ntyp = 2
/
ATOMIC_SPECIES
K 39.10 K.upf
Pb 207.20 Pb.upf
ATOMIC_POSITIONS angstrom
K 0.000 0.000 0.000
Pb 0.000 0.000 4.953
Pb 0.000 0.000 9.810
Pb 1.841 1.841 2.782
Pb 1.841 1.841 7.382
Pb 1.841 1.841 11.981
CELL_PARAMETERS angstrom
3.682 0.000 0.000
0.000 3.682 0.000
0.000 0.000 14.763
```

***

Record 6
Here is an optimized crystal structure of Nd2CdPd9 from Alexandria. Energies are from GGA-PBE. Values from VASP.

Energy relative to the elements ... -582 meV per atom
Crystal system ... tetragonal

Cell and atoms, written as Quantum ESPRESSO input:
```
&SYSTEM
  ibrav = 0, nat = 12, ntyp = 3
/
ATOMIC_SPECIES
Nd 144.24 Nd.upf
Cd 112.41 Cd.upf
Pd 106.42 Pd.upf
ATOMIC_POSITIONS angstrom
Nd 0.000 0.000 2.142
Nd 0.000 0.000 10.218
Cd 0.000 0.000 6.180
Pd 0.000 2.081 0.000
Pd 0.000 2.081 4.230
Pd 0.000 2.081 8.130
Pd 2.081 0.000 0.000
Pd 2.081 0.000 4.230
Pd 2.081 0.000 8.130
Pd 2.081 2.081 2.092
Pd 2.081 2.081 6.180
Pd 2.081 2.081 10.267
CELL_PARAMETERS angstrom
4.162 0.000 0.000
0.000 4.162 0.000
0.000 0.000 12.360
```

***

Record 7
Here is an optimized crystal structure of TbCe3Bi4 from Alexandria. Energies are from GGA-PBE. Values from VASP.

Energy relative to the elements ... -809 meV per atom
Crystal system ... cubic

Cell and atoms, written as Quantum ESPRESSO input:
```
&SYSTEM
  ibrav = 0, nat = 8, ntyp = 3
/
ATOMIC_SPECIES
Tb 158.93 Tb.upf
Ce 140.12 Ce.upf
Bi 208.98 Bi.upf
ATOMIC_POSITIONS angstrom
Tb 0.000 0.000 0.000
Ce 0.000 3.236 3.236
Ce 3.236 0.000 3.236
Ce 3.236 3.236 0.000
Bi 0.000 0.000 3.236
Bi 0.000 3.236 0.000
Bi 3.236 0.000 0.000
Bi 3.236 3.236 3.236
CELL_PARAMETERS angstrom
6.472 0.000 0.000
0.000 6.472 0.000
0.000 0.000 6.472
```

***

Record 8
Here is an optimized crystal structure of TlAg2Os from Alexandria. Energies are from GGA-PBE. Values from VASP.

Energy relative to the elements ... 694 meV per atom
Polymorph energy (0 for the lowest one) ... 58 meV/atom
Crystal system ... tetragonal

Cell and atoms, written as Quantum ESPRESSO input:
```
&SYSTEM
  ibrav = 0, nat = 4, ntyp = 3
/
ATOMIC_SPECIES
Tl 204.38 Tl.upf
Ag 107.87 Ag.upf
Os 190.23 Os.upf
ATOMIC_POSITIONS angstrom
Tl 0.000 0.000 0.000
Ag 0.000 0.000 4.563
Ag 1.462 1.462 2.470
Os 1.462 1.462 6.536
CELL_PARAMETERS angstrom
2.924 0.000 0.000
0.000 2.924 0.000
0.000 0.000 8.703
```

***

Let's list D(E_F) in order: 16.69 5.49 3.68 4.05 2.97 10.57 19.36 2.59 states/eV/cell.